HfGe2S4 | PBE | relaxed

Lattice parameters (Å, degrees): 3.5242 6.7099 12.7341 90.00 90.00 105.23
Sites, in units of the cell vectors:
Hf 0.6257 0.2514 0.7500
Hf 0.3743 0.7486 0.2500
Ge 0.1236 0.2473 0.4339
Ge 0.8764 0.7527 0.9339
Ge 0.1236 0.2473 0.0661
Ge 0.8764 0.7527 0.5661
S 0.7891 0.5783 0.1259
S 0.7891 0.5783 0.3741
S 0.2109 0.4217 0.8741
S 0.2109 0.4217 0.6259
S 0.9830 0.9660 0.7500
S 0.0170 0.0340 0.2500
S 0.5000 0.0000 0.0000
S 0.5000 0.0000 0.5000

Summary:
**Mass density**: 5167 kg/m3
**Formation energy without anion corrections**: -687 meV/atom
**Space group**: Cmcm (63)
**Spin magnetization**: 0.000 μB/cell
**D(E_F)**: 0.84 states/eV per cell
**Relative energy among the computed polymorphs**: 0.0 meV/atom


BaNaPuCl6 | PBE | relaxed

Lattice parameters (Å, degrees): 7.2145 7.2145 13.2579 90.00 90.00 120.00
Site moments in Bohr magnetons follow the coordinates.
Sites, in units of the cell vectors:
Ba 0.0000 0.0000 0.0000  0.00
Ba 0.0000 0.0000 0.5000  0.00
Na 0.3333 0.6667 0.2500  0.00
Na 0.6667 0.3333 0.7500  0.00
Pu 0.6667 0.3333 0.2500  5.02
Pu 0.3333 0.6667 0.7500  5.02
Cl 0.6519 0.6406 0.1355  -0.02
Cl 0.9887 0.3481 0.1355  -0.02
Cl 0.3481 0.9887 0.6355  -0.02
Cl 0.0113 0.6519 0.8645  -0.02
Cl 0.3594 0.3481 0.3645  -0.02
Cl 0.9887 0.6406 0.3645  -0.02
Cl 0.6406 0.9887 0.8645  -0.02
Cl 0.6519 0.0113 0.3645  -0.02
Cl 0.0113 0.3594 0.6355  -0.02
Cl 0.3594 0.0113 0.1355  -0.02
Cl 0.6406 0.6519 0.6355  -0.02
Cl 0.3481 0.3594 0.8645  -0.02

Summary:
**Mass density**: 3429 kg/m3
**Formation energy without anion corrections**: -2081 meV/atom
**Space group**: P-31c (163)
**Spin magnetization**: 10.000 μB/cell
**D(E_F)**: 23.51 states/eV per cell


ReNiS2 | PBE | relaxed

Lattice parameters (Å, degrees): 4.1855 4.1855 4.1855 60.00 60.00 60.00
Site moments in Bohr magnetons follow the coordinates.
Sites, in units of the cell vectors:
Re 0.5000 0.5000 0.5000  0.26
S 0.2500 0.2500 0.2500  0.02
S 0.7500 0.7500 0.7500  0.02
Ni 0.0000 0.0000 0.0000  0.55

Summary:
**Mass density**: 9898 kg/m3
**Formation energy without anion corrections**: 271 meV/atom
**Space group**: Fm-3m (225)
**Spin magnetization**: 0.861 μB/cell
**D(E_F)**: 3.70 states/eV per cell
**Relative energy among the computed polymorphs**: 351.8 meV/atom


Ga4Cu2Ni | PBE | relaxed

Lattice parameters (Å, degrees): 4.5651 4.5651 6.7761 70.31 70.31 90.00
Sites, in units of the cell vectors:
Ni 0.0000 0.0000 0.0000
Cu 0.3945 0.3945 0.2110
Cu 0.6055 0.6055 0.7890
Ga 0.1957 0.1957 0.6086
Ga 0.8043 0.8043 0.3914
Ga 0.0000 0.5000 0.0000
Ga 0.5000 0.0000 0.0000

Summary:
**Mass density**: 6215 kg/m3
**Space group**: I4/mmm (139)
**ΔH_f (0 K)**: 0.079 eV/atom
**Spin magnetization**: 0.000 μB/cell
**D(E_F)**: 2.34 states/eV per cell


PrNd2TmTl4 | PBE | relaxed

Lattice parameters (Å, degrees): 5.4774 5.4774 9.5315 73.30 73.30 60.00
Sites, in units of the cell vectors:
Pr 0.0000 0.0000 0.0000
Nd 0.7513 0.7513 0.7461
Nd 0.2487 0.2487 0.2539
Tm 0.5000 0.5000 0.5000
Tl 0.3769 0.3769 0.8693
Tl 0.8734 0.8734 0.3797
Tl 0.1266 0.1266 0.6203
Tl 0.6231 0.6231 0.1307

Summary:
**Mass density**: 10063 kg/m3
**Space group**: R-3m (166)
**ΔH_f (0 K)**: -0.361 eV/atom
**Spin magnetization**: 0.000 μB/cell
**D(E_F)**: 6.41 states/eV per cell


Na2TcPb | PBE | relaxed

Lattice parameters (Å, degrees): 8.5235 8.5235 6.6387 50.06 50.06 90.00
Site moments in Bohr magnetons follow the coordinates.
Sites, in units of the cell vectors:
Pb 0.0000 0.0000 0.0000  -0.11
Pb 0.7500 0.2500 0.5000  -0.11
Na 0.6089 0.1250 0.2500  -0.01
Na 0.1411 0.6250 0.2500  -0.01
Na 0.3750 0.3911 0.7500  -0.01
Na 0.8750 0.8589 0.7500  -0.01
Tc 0.5000 0.5000 0.0000  2.10
Tc 0.2500 0.7500 0.5000  2.09

Summary:
**Mass density**: 5768 kg/m3
**Space group**: I-42d (122)
**ΔH_f (0 K)**: 0.842 eV/atom
**Spin magnetization**: 4.284 μB/cell
**D(E_F)**: 6.07 states/eV per cell


Al2ZnPb | PBE | relaxed

Lattice parameters (Å, degrees): 3.7784 3.1930 7.3992 71.11 90.00 90.00
Sites, in units of the cell vectors:
Pb 0.5000 0.2500 0.2500
Zn 0.5000 0.7500 0.7500
Al 0.0000 0.0770 0.9433
Al 0.0000 0.4230 0.5567

Summary:
**Mass density**: 6421 kg/m3
**Space group**: P2/m (10)
**ΔH_f (0 K)**: 0.211 eV/atom
**Spin magnetization**: 0.000 μB/cell
**D(E_F)**: 1.84 states/eV per cell
**Relative energy among the computed polymorphs**: 32.4 meV/atom


KReSi2Rh | PBE | relaxed

Lattice parameters (Å, degrees): 4.9346 4.4700 4.9346 90.00 90.00 90.00
Site moments in Bohr magnetons follow the coordinates.
Sites, in units of the cell vectors:
Re 0.5000 0.5000 0.5000  2.65
K 0.0000 0.0000 0.0000  0.00
Rh 0.0000 0.5000 0.0000  0.00
Si 0.0000 0.0000 0.5000  -0.04
Si 0.5000 0.0000 0.0000  -0.04

Summary:
**Mass density**: 5864 kg/m3
**Formation energy without anion corrections**: 2845 meV/atom
**Space group**: P4/mmm (123)
**Spin magnetization**: 2.818 μB/cell
**D(E_F)**: 3.85 states/eV per cell


Tb2ZnAu5 | PBE | relaxed

Lattice parameters (Å, degrees): 6.3711 6.3711 6.1514 121.51 121.51 89.49
Sites, in units of the cell vectors:
Tb 0.2337 0.7347 0.4682
Tb 0.7347 0.2337 0.4682
Zn 0.1189 0.1189 0.2387
Au 0.7059 0.2566 0.9620
Au 0.2554 0.2554 0.9674
Au 0.7102 0.7102 0.9643
Au 0.2566 0.7059 0.9620
Au 0.7616 0.7616 0.5232

Summary:
**Mass density**: 13437 kg/m3
**Space group**: Cm (8)
**ΔH_f (0 K)**: -0.520 eV/atom
**Spin magnetization**: 0.000 μB/cell
**D(E_F)**: 3.96 states/eV per cell


KHfBe2F | PBE | relaxed

Lattice parameters (Å, degrees): 4.9422 4.1813 4.9422 90.00 90.00 90.00
Sites, in units of the cell vectors:
Be 0.0000 0.0000 0.5000
Be 0.5000 0.0000 0.0000
K 0.0000 0.0000 0.0000
Hf 0.5000 0.5000 0.5000
F 0.0000 0.5000 0.0000

Summary:
**Mass density**: 4140 kg/m3
**Formation energy without anion corrections**: 985 meV/atom
**Space group**: P4/mmm (123)
**Spin magnetization**: 0.000 μB/cell
**D(E_F)**: 3.84 states/eV per cell


K6Ca | PBE | relaxed

Lattice parameters (Å, degrees): 9.3426 9.3426 9.3426 109.47 109.47 109.47
Sites, in units of the cell vectors:
K 0.2500 0.7500 0.5000
K 0.5000 0.7500 0.2500
K 0.2500 0.5000 0.7500
K 0.7500 0.2500 0.5000
K 0.5000 0.2500 0.7500
K 0.7500 0.5000 0.2500
Ca 0.0000 0.0000 0.0000

Summary:
**Mass density**: 727 kg/m3
**Space group**: Im-3m (229)
**ΔH_f (0 K)**: 0.456 eV/atom
**Spin magnetization**: 0.000 μB/cell
**D(E_F)**: 6.35 states/eV per cell


TeOsCl | PBE | relaxed

Lattice parameters (Å, degrees): 3.6852 3.6852 6.7162 90.00 90.00 120.00
Site moments in Bohr magnetons follow the coordinates.
Sites, in units of the cell vectors:
Cl 0.0000 0.0000 0.1067  0.04
Os 0.6667 0.3333 0.3354  0.92
Te 0.3333 0.6667 0.5579  -0.02

Summary:
**Mass density**: 7427 kg/m3
**Formation energy without anion corrections**: 206 meV/atom
**Space group**: P3m1 (156)
**Spin magnetization**: 1.005 μB/cell
**D(E_F)**: 3.00 states/eV per cell


ThAg2PbCl8 | PBE | relaxed

Lattice parameters (Å, degrees): 6.7594 6.9585 8.7311 77.00 89.64 100.17
Sites, in units of the cell vectors:
Th 0.0000 0.0000 0.0000
Ag 0.5078 0.3608 0.6980
Ag 0.4922 0.6392 0.3020
Pb 0.0000 0.0000 0.5000
Cl 0.1149 0.7693 0.2711
Cl 0.6406 0.7567 0.0241
Cl 0.8703 0.2070 0.1946
Cl 0.8851 0.2307 0.7289
Cl 0.3594 0.2433 0.9759
Cl 0.1297 0.7930 0.8054
Cl 0.6163 0.7403 0.5558
Cl 0.3837 0.2597 0.4442

Summary:
**Mass density**: 3962 kg/m3
**Formation energy without anion corrections**: -1321 meV/atom
**Space group**: P-1 (2)
**Spin magnetization**: 0.000 μB/cell
**D(E_F)**: 0.00 states/eV per cell


Ti2Ni9Pd | PBE | relaxed

Lattice parameters (Å, degrees): 3.6167 3.6167 10.8827 90.00 90.00 90.00
Sites, in units of the cell vectors:
Ti 0.0000 0.0000 0.3323
Ti 0.0000 0.0000 0.6677
Ni 0.5000 0.5000 0.0000
Ni 0.5000 0.5000 0.3364
Ni 0.5000 0.5000 0.6636
Ni 0.5000 0.0000 0.1725
Ni 0.5000 0.0000 0.5000
Ni 0.5000 0.0000 0.8275
Ni 0.0000 0.5000 0.1725
Ni 0.0000 0.5000 0.5000
Ni 0.0000 0.5000 0.8275
Pd 0.0000 0.0000 0.0000

Summary:
**Mass density**: 8520 kg/m3
**Space group**: P4/mmm (123)
**ΔH_f (0 K)**: -0.292 eV/atom
**Spin magnetization**: 0.036 μB/cell
**D(E_F)**: 15.27 states/eV per cell


NiBRh | PBE | relaxed

Lattice parameters (Å, degrees): 3.5912 3.5912 3.5912 60.00 60.00 60.00
Sites, in units of the cell vectors:
Ni 0.5000 0.5000 0.5000
B 0.2500 0.2500 0.2500
Rh 0.0000 0.0000 0.0000

Summary:
**Mass density**: 8742 kg/m3
**Space group**: F-43m (216)
**ΔH_f (0 K)**: -0.250 eV/atom
**Spin magnetization**: 0.000 μB/cell
**D(E_F)**: 1.69 states/eV per cell


HfS2ICl | PBE | relaxed

Lattice parameters (Å, degrees): 5.1679 5.1679 5.1814 90.00 90.00 90.00
Site moments in Bohr magnetons follow the coordinates.
Sites, in units of the cell vectors:
I 0.0000 0.0000 0.0000  0.04
S 0.0000 0.5000 0.0000  -0.01
S 0.5000 0.0000 0.0000  -0.01
Hf 0.5000 0.5000 0.5000  1.20
Cl 0.0000 0.0000 0.5000  0.01

Summary:
**Mass density**: 4860 kg/m3
**Formation energy without anion corrections**: 1024 meV/atom
**Space group**: P4/mmm (123)
**Spin magnetization**: 1.967 μB/cell
**D(E_F)**: 6.58 states/eV per cell
**Relative energy among the computed polymorphs**: 1644.3 meV/atom


MgBe2ZnP | PBE | relaxed

Lattice parameters (Å, degrees): 4.1371 4.9729 4.1371 90.00 90.00 90.00
Sites, in units of the cell vectors:
P 0.5000 0.5000 0.5000
Zn 0.0000 0.0000 0.0000
Mg 0.0000 0.5000 0.0000
Be 0.0000 0.0000 0.5000
Be 0.5000 0.0000 0.0000

Summary:
**Mass density**: 2706 kg/m3
**Space group**: P4/mmm (123)
**ΔH_f (0 K)**: 0.761 eV/atom
**Spin magnetization**: 0.000 μB/cell
**D(E_F)**: 2.56 states/eV per cell


Ca2ZnGa7 | PBE | relaxed

Lattice parameters (Å, degrees): 4.3156 4.3156 10.8848 90.00 90.00 90.00
Sites, in units of the cell vectors:
Ca 0.5000 0.0000 0.7551
Ca 0.0000 0.5000 0.2449
Zn 0.5000 0.5000 0.0000
Ga 0.0000 0.5000 0.8659
Ga 0.5000 0.0000 0.3618
Ga 0.5000 0.0000 0.1341
Ga 0.0000 0.5000 0.6382
Ga 0.0000 0.0000 0.5000
Ga 0.0000 0.0000 0.0000
Ga 0.5000 0.5000 0.5000

Summary:
**Mass density**: 5190 kg/m3
**Space group**: P-4m2 (115)
**ΔH_f (0 K)**: -0.371 eV/atom
**Spin magnetization**: 0.000 μB/cell
**D(E_F)**: 1.78 states/eV per cell